InCuPb2 after structural relaxation. Source: Alexandria, functional GGA-PBE.

abc: 3.495 3.360 9.357
angles: 68.86 90.00 90.00
Element x y z (fractional)
Cu 0.500 0.250 0.250
In 0.500 0.750 0.750
Pb 0.000 0.946 0.047
Pb 0.000 0.554 0.453

Values from the calculation:
final energy	-13.706	eV per formula unit
SG	No. 10
ΔE_f	0.136	eV/atom

***

ScIr3Ru after structural relaxation. Source: Alexandria, functional GGA-PBE.

abc: 4.582 4.582 4.582
angles: 90.00 90.00 90.00
Element x y z (fractional)
Ru 0.500 0.500 0.500
Ir 0.500 0.000 0.000
Ir 0.000 0.500 0.000
Ir 0.000 0.000 0.500
Sc 0.000 0.000 0.000

Values from the calculation:
final energy	-32.868	eV per formula unit
E above lowest polymorph	0.766	eV per atom
SG	No. 221
ΔE_f	1.864	eV/atom

***

Pm2Y2Tm15 after structural relaxation. Source: Alexandria, functional GGA-PBE.

abc: 8.635 8.635 8.635
angles: 80.01 80.01 80.01
Element x y z (fractional)
Tm 0.000 0.500 0.000
Tm 0.500 0.000 0.000
Tm 0.304 0.000 0.696
Tm 0.304 0.696 0.000
Tm 0.366 0.366 0.849
Tm 0.696 0.304 0.000
Tm 0.696 0.000 0.304
Tm 0.849 0.366 0.366
Tm 0.000 0.696 0.304
Tm 0.634 0.634 0.151
Tm 0.151 0.634 0.634
Tm 0.366 0.849 0.366
Tm 0.000 0.304 0.696
Tm 0.634 0.151 0.634
Tm 0.000 0.000 0.500
Pm 0.115 0.115 0.115
Pm 0.885 0.885 0.885
Y 0.671 0.671 0.671
Y 0.329 0.329 0.329

Values from the calculation:
final energy	-84.154	eV per formula unit
SG	No. 166
ΔE_f	0.281	eV/atom

***

ReAsRu2 after structural relaxation. Source: Alexandria, functional GGA-PBE.

abc: 2.790 2.790 8.650
angles: 90.00 90.00 117.42
Element x y z (fractional)
Ru 0.000 0.000 0.494
Ru 0.000 0.000 0.006
Re 0.500 0.500 0.750
As 0.500 0.500 0.250

Values from the calculation:
final energy	-33.981	eV per formula unit
SG	No. 65
ΔE_f	0.417	eV/atom

***

CuSbSeN2 after structural relaxation. Source: Alexandria, functional GGA-PBE.

abc: 3.902 3.902 5.997
angles: 90.00 90.00 90.00
Element x y z (fractional)
Cu 0.500 0.500 0.500
Se 0.000 0.000 0.500
Sb 0.000 0.000 0.000
N 0.500 0.000 0.000
N 0.000 0.500 0.000

Values from the calculation:
final energy	-21.713	eV per formula unit
formation energy from raw total energies	1.3281	eV per atom
E above lowest polymorph	0.000	eV per atom
SG	No. 123

***

CoReOs2 after structural relaxation. Source: Alexandria, functional GGA-PBE.

abc: 2.702 2.702 7.453
angles: 90.00 90.00 90.00
Element x y z (fractional)
Re 0.000 0.000 0.514
Co 0.500 0.500 0.749
Os 0.000 0.000 0.992
Os 0.500 0.500 0.245

Values from the calculation:
final energy	-41.474	eV per formula unit
E above lowest polymorph	0.046	eV per atom
SG	No. 99
ΔE_f	0.135	eV/atom

***

Among the records above, which one has the lowest final energy?
Pm2Y2Tm15

***

Which of these has the lowest final energy?
Pm2Y2Tm15

***

Which formula does entry 5 have?
CuSbSeN2

***

The highest final energy belongs to which entry?
InCuPb2